Computed, not measured: a relaxed structure of Sr3TaNi at the GGA-PBE level of DFT.

Results
Space-group type = Pm-3m, No. 221
ΔE to the lowest computed polymorph = 580 meV/atom
Calculated formation energy = 34.38 kcal/mol of atoms
Uncorrected energy = -3.045 eV/atom
ρ = 4.20 g/cm³
Density of states at the Fermi level = 12.4 states/eV per cell

```
Sr3TaNi
1.0
5.837 0.000 0.000
0.000 5.837 0.000
0.000 0.000 5.837
Ta Sr Ni
1 3 1
direct
0.000 0.000 0.000
0.000 0.500 0.000
0.500 0.000 0.000
0.000 0.000 0.500
0.500 0.500 0.500
```